Entry 1:
# YPa5Sb6 | the Alexandria database | PBE | optimized geometry
# - formation energy from raw total energies (eV/atom) = -0.549
# - volume (Å³ per cell) = 704.3
data_YPa5Sb6
_cell_length_a 7.5575
_cell_length_b 13.0906
_cell_length_c 7.5525
_cell_angle_alpha 90.00
_cell_angle_beta 109.50
_cell_angle_gamma 90.00
_space_group_name_H-M_alt 'C 1 2/m 1'
_space_group_IT_number 12
_space_group_name_Hall '-C 2y'
loop_
_atom_site_label
_atom_site_fract_x
_atom_site_fract_y
_atom_site_fract_z
Y1 0.0000 0.0000 0.0000
Pa1 0.0000 0.1663 0.5000
Pa2 0.0000 0.3334 0.0000
Pa3 0.0000 0.5000 0.5000
Sb1 0.2493 0.0000 0.7507
Sb2 0.2491 0.1662 0.2490

Entry 2:
# Co2TcRh | the Alexandria database | PBE | optimized geometry
# - energy relative to the elements (eV per atom) = 0.261
# - volume (Å³ per cell) = 52.2
# - energy above the most stable polymorph in this dataset (meV/atom) = 226.5
data_Co2TcRh
_cell_length_a 2.5852
_cell_length_b 4.2485
_cell_length_c 4.7712
_cell_angle_alpha 90.00
_cell_angle_beta 95.61
_cell_angle_gamma 90.00
_space_group_name_H-M_alt 'P 1 2/m 1'
_space_group_IT_number 10
_space_group_name_Hall '-P 2y'
loop_
_atom_site_label
_atom_site_fract_x
_atom_site_fract_y
_atom_site_fract_z
Co1 0.1809 0.0000 0.2543
Tc1 0.0000 0.5000 0.5000
Rh1 0.5000 0.5000 0.0000

Entry 3:
# YScSe3 | the Alexandria database | PBE | optimized geometry
# - formation energy from raw total energies (eV/atom) = -1.756
# - volume (Å³ per cell) = 801.8
data_YScSe3
_cell_length_a 7.0046
_cell_length_b 7.0046
_cell_length_c 18.8710
_cell_angle_alpha 90.00
_cell_angle_beta 90.00
_cell_angle_gamma 120.00
_space_group_name_H-M_alt 'R 3 c'
_space_group_IT_number 161
_space_group_name_Hall 'R 3 -2"c'
loop_
_atom_site_label
_atom_site_fract_x
_atom_site_fract_y
_atom_site_fract_z
Y1 0.0000 0.0000 0.0000
Sc1 0.0000 0.0000 0.1940
Se1 0.0404 0.3460 0.2695

Number 1: Fermi-level density of states 1.66 states/eV/atom. Number 2: Fermi-level density of states 1.40 states/eV/atom. Number 3: Fermi-level density of states 0.00 states/eV/atom.